# PBE-GGA PmNdYZr, optimized geometry
data_PmNdYZr
_space_group_name_H-M_alt 'F -4 3 m'
_space_group_IT_number 216
_space_group_name_Hall 'F -4 2 3'
_cell_length_a 7.866
_cell_length_b 7.866
_cell_length_c 7.866
_cell_angle_alpha 90.00
_cell_angle_beta 90.00
_cell_angle_gamma 90.00
loop_
_atom_site_label
_atom_site_type_symbol
_atom_site_fract_x
_atom_site_fract_y
_atom_site_fract_z
Pm1 Pm 0.000 0.000 0.000
Nd1 Nd 0.000 0.000 0.500
Y1 Y 0.250 0.250 0.750
Zr1 Zr 0.250 0.250 0.250
# Formation enthalpy at 0 K in eV/f.u.: 0.87
# Calculated volume in Å³/f.u.: 121.7
# N(E_F) in states/eV/atom: 1.7189
# Total energy in eV per cell: -94.63